This record from Alexandria via LeMat-Bulk describes a relaxed structure of CaTa2H. The functional is PBE.

Properties
Excess energy over the best structure of this formula in the dataset ... 1494 meV per atom
D(E_F) ... 4.617 states/eV/f.u.

Unit cell a=6.569 b=6.569 c=6.569 alpha=90.00 beta=90.00 gamma=90.00
Fractional positions:
Ca (0.000, 0.000, 0.000)
Ca (0.000, 0.500, 0.500)
Ca (0.500, 0.000, 0.500)
Ca (0.500, 0.500, 0.000)
Ta (0.250, 0.250, 0.250)
Ta (0.250, 0.250, 0.750)
Ta (0.250, 0.750, 0.250)
Ta (0.250, 0.750, 0.750)
Ta (0.750, 0.250, 0.250)
Ta (0.750, 0.250, 0.750)
Ta (0.750, 0.750, 0.250)
Ta (0.750, 0.750, 0.750)
H (0.000, 0.000, 0.500)
H (0.000, 0.500, 0.000)
H (0.500, 0.000, 0.000)
H (0.500, 0.500, 0.500)

***

This record from Alexandria via LeMat-Bulk describes a relaxed structure of La2ReAg. The functional is PBE.

Properties
Excess energy over the best structure of this formula in the dataset ... 291 meV per atom
D(E_F) ... 3.531 states/eV/f.u.
Formation enthalpy at 0 K ... 34 kJ/mol of atoms

Unit cell a=4.471 b=4.471 c=9.475 alpha=90.00 beta=90.00 gamma=90.00
Fractional positions:
La (0.000, 0.000, 0.000)
La (0.000, 0.500, 0.250)
La (0.500, 0.000, 0.750)
La (0.500, 0.500, 0.500)
Re (0.000, 0.500, 0.750)
Re (0.500, 0.000, 0.250)
Ag (0.000, 0.000, 0.500)
Ag (0.500, 0.500, 0.000)

***

This record from Alexandria via LeMat-Bulk describes a relaxed structure of V2CdSe. The functional is PBE.

Properties
Excess energy over the best structure of this formula in the dataset ... 0 meV per atom
D(E_F) ... 4.962 states/eV/f.u.

Unit cell a=6.384 b=6.384 c=6.384 alpha=90.00 beta=90.00 gamma=90.00
Fractional positions:
V (0.250, 0.250, 0.250)
V (0.250, 0.250, 0.750)
V (0.250, 0.750, 0.250)
V (0.250, 0.750, 0.750)
V (0.750, 0.250, 0.250)
V (0.750, 0.250, 0.750)
V (0.750, 0.750, 0.250)
V (0.750, 0.750, 0.750)
Cd (0.000, 0.000, 0.000)
Cd (0.000, 0.500, 0.500)
Cd (0.500, 0.000, 0.500)
Cd (0.500, 0.500, 0.000)
Se (0.000, 0.000, 0.500)
Se (0.000, 0.500, 0.000)
Se (0.500, 0.000, 0.000)
Se (0.500, 0.500, 0.500)

***

This record from Alexandria via LeMat-Bulk describes a relaxed structure of ZrPa2Bi. The functional is PBE.

Properties
Excess energy over the best structure of this formula in the dataset ... 0 meV per atom
D(E_F) ... 8.093 states/eV/f.u.
Formation enthalpy at 0 K ... -9 kJ/mol of atoms

Unit cell a=4.464 b=4.464 c=4.981 alpha=90.00 beta=90.00 gamma=90.00
Fractional positions:
Zr (0.000, 0.000, 0.000)
Pa (0.000, 0.500, 0.500)
Pa (0.500, 0.000, 0.500)
Bi (0.500, 0.500, 0.000)

***

This record from Alexandria via LeMat-Bulk describes a relaxed structure of LaPSe2. The functional is PBE.

Properties
D(E_F) ... 0.547 states/eV/f.u.
VASP energy ... -78.62 eV per cell

Unit cell a=5.081 b=5.081 c=17.321 alpha=90.00 beta=90.00 gamma=90.00
Fractional positions:
La (0.000, 0.000, 0.000)
La (0.000, 0.500, 0.250)
La (0.500, 0.000, 0.750)
La (0.500, 0.500, 0.500)
P (0.000, 0.000, 0.500)
P (0.000, 0.500, 0.750)
P (0.500, 0.000, 0.250)
P (0.500, 0.500, 0.000)
Se (0.198, 0.250, 0.625)
Se (0.250, 0.698, 0.875)
Se (0.250, 0.802, 0.375)
Se (0.302, 0.250, 0.125)
Se (0.698, 0.750, 0.125)
Se (0.750, 0.198, 0.375)
Se (0.750, 0.302, 0.875)
Se (0.802, 0.750, 0.625)

***

This record from Alexandria via LeMat-Bulk describes a relaxed structure of SmTcH3. The functional is PBE.

Properties
D(E_F) ... 2.090 states/eV/f.u.
VASP energy ... -26.94 eV per cell

Unit cell a=3.705 b=3.705 c=3.705 alpha=90.00 beta=90.00 gamma=90.00
Fractional positions:
Sm (0.000, 0.000, 0.000)
Tc (0.500, 0.500, 0.500)
H (0.000, 0.500, 0.500)
H (0.500, 0.000, 0.500)
H (0.500, 0.500, 0.000)

***

This record from Alexandria via LeMat-Bulk describes a relaxed structure of Rb2SrLiP. The functional is PBE.

Properties
D(E_F) ... 3.439 states/eV/f.u.
Formation enthalpy at 0 K ... 97 kJ/mol of atoms

Unit cell a=7.277 b=7.277 c=5.736 alpha=90.00 beta=90.00 gamma=90.00
Fractional positions:
Rb (0.000, 0.500, 0.000)
Rb (0.500, 0.000, 0.000)
Sr (0.000, 0.000, 0.000)
Li (0.000, 0.000, 0.500)
P (0.500, 0.500, 0.500)

***

This record from Alexandria via LeMat-Bulk describes a relaxed structure of AlZnCd2. The functional is PBE.

Properties
Excess energy over the best structure of this formula in the dataset ... 122 meV per atom
D(E_F) ... 1.692 states/eV/f.u.
Formation enthalpy at 0 K ... 17 kJ/mol of atoms

Unit cell a=4.757 b=4.757 c=3.582 alpha=90.00 beta=90.00 gamma=90.00
Fractional positions:
Al (0.000, 0.000, 0.000)
Zn (0.500, 0.500, 0.000)
Cd (0.000, 0.500, 0.500)
Cd (0.500, 0.000, 0.500)